Below is a geometry-optimized Nd7BeBr12 structure, with properties calculated at the PBE level.

```
data_Nd7BeBr12
_cell_length_a 15.2217
_cell_length_b 15.2217
_cell_length_c 10.1939
_cell_angle_alpha 90.00
_cell_angle_beta 90.00
_cell_angle_gamma 120.00
_space_group_name_H-M_alt 'R -3'
_space_group_IT_number 148
_space_group_name_Hall '-R 3'
loop_
_atom_site_label
_atom_site_fract_x
_atom_site_fract_y
_atom_site_fract_z
Nd1 0.0000 0.0000 0.0000
Nd2 0.0453 0.8790 0.3433
Be1 0.0000 0.0000 0.5000
Br1 0.0254 0.4380 0.1641
Br2 0.0495 0.8671 0.8417
```

As for the density of states at the Fermi level: 32.58 states/eV per cell. For the total energy, the calculation gives -0.1616 hartree per atom. The volume comes out at 2045.5 Å³/cell. The calculation puts the theoretical density at 4.8 Mg/m³. The calculation puts the total magnetization at 0.000 μB/atom.